*A*
# Li6HgPb, relaxed, DFT PBE
data_Li6HgPb
_chemical_formula_sum 'Li12 Hg2 Pb2'
_cell_length_a 4.861
_cell_length_b 5.974
_cell_length_c 10.311
_cell_angle_alpha 90.00
_cell_angle_beta 90.00
_cell_angle_gamma 90.00
_space_group_name_H-M_alt 'A m m 2'
_space_group_IT_number 38
loop_
_space_group_symop_operation_xyz
'x,y,z'
'-x,-y,z'
'-x,y,z'
'x,-y,z'
'x,y+1/2,z+1/2'
'-x,-y+1/2,z+1/2'
'-x,y+1/2,z+1/2'
'x,-y+1/2,z+1/2'
loop_
_atom_site_label
_atom_site_type_symbol
_atom_site_fract_x
_atom_site_fract_y
_atom_site_fract_z
Li1 Li 0.000 0.000 0.000
Li2 Li 0.000 0.240 0.760
Li3 Li 0.500 0.000 0.342
Li4 Li 0.500 0.246 0.588
Hg1 Hg 0.000 0.000 0.506
Pb1 Pb 0.500 0.000 0.840
# Total magnetic moment, μB/cell: 0.00
# Volume, Å³/f.u.: 149.7
# D(E_F), states/eV per atom: 0.412


*B*
# Li6HgPb, relaxed, DFT PBE
data_Li6HgPb
_chemical_formula_sum 'Li18 Hg3 Pb3'
_cell_length_a 4.6787
_cell_length_b 4.6787
_cell_length_c 22.9121
_cell_angle_alpha 90.00
_cell_angle_beta 90.00
_cell_angle_gamma 120.00
_space_group_name_H-M_alt 'R -3 m'
_space_group_IT_number 166
_space_group_name_Hall '-R 3 2"'
loop_
_atom_site_label
_atom_site_type_symbol
_atom_site_fract_x
_atom_site_fract_y
_atom_site_fract_z
Li1 Li 0.0000 0.0000 0.1227
Li2 Li 0.0000 0.0000 0.2443
Li3 Li 0.0000 0.0000 0.3729
Hg1 Hg 0.0000 0.0000 0.0000
Pb1 Pb 0.0000 0.0000 0.5000
# Total magnetic moment, μB/cell: 0.00
# Volume, Å³/f.u.: 144.8
# D(E_F), states/eV per atom: 0.365


Which structure above is the least stable one? *A* is the least stable one.